1.
A PBEsol-optimized structure of Zr2TlIr, computed with meta-GGA SCAN.

The structure in POSCAR format:
```
Zr2TlIr
1.0
-1.6719 2.3174 5.1863
1.6719 -2.3174 5.1863
1.6719 2.3174 -5.1863
Zr Tl Ir
2 1 1
direct
0.0000 0.0000 0.0000
0.7195 0.2195 0.5000
0.4324 0.4324 0.0000
0.2039 0.7039 0.5000
```

Values from the calculation:
The value obtained for the relative energy among the computed polymorphs is 0.685 eV/f.u. The space group is No. 44. The density of states at the Fermi level comes out at 3.086 states/eV/cell. As for the energy of formation: -456 meV per atom. As for the total energy: -206.680 eV/cell. Its total moment is 0.0 μB per formula unit.



2.
A PBEsol-optimized structure of Zr2TlIr, computed with meta-GGA SCAN.

The structure in POSCAR format:
```
Zr2TlIr
1.0
1.7711 1.0225 8.1081
-1.7711 1.0225 8.1081
0.0000 -2.0451 8.1081
Zr Tl Ir
2 1 1
direct
0.2343 0.2343 0.2343
0.7657 0.7657 0.7657
0.0000 0.0000 0.0000
0.5000 0.5000 0.5000
```

Values from the calculation:
The value obtained for the relative energy among the computed polymorphs is 0.690 eV/f.u. The space group is No. 166. The density of states at the Fermi level comes out at 3.875 states/eV/cell. As for the energy of formation: -455 meV per atom. As for the total energy: -206.674 eV/cell. Its total moment is 0.0 μB per formula unit.



3.
A PBEsol-optimized structure of ZrTlIr, computed with meta-GGA SCAN.

The structure in POSCAR format:
```
ZrTlIr
1.0
-1.7558 1.7558 4.6508
1.7558 -1.7558 4.6508
1.7558 1.7558 -4.6508
Zr Tl Ir
1 1 1
direct
0.0000 0.0000 0.0000
0.3123 0.3123 0.0000
0.6353 0.6353 0.0000
```

Values from the calculation:
The space group is No. 107. The density of states at the Fermi level comes out at 1.214 states/eV/cell. As for the energy of formation: -299 meV per atom. As for the total energy: -175.053 eV/cell. Its total moment is 0.0 μB per formula unit.



4.
A PBEsol-optimized structure of Zr2TlIr, computed with meta-GGA SCAN.

The structure in POSCAR format:
```
Zr2TlIr
1.0
4.4404 0.0000 0.0000
0.0000 1.6699 5.4292
0.0000 -1.6699 5.4292
Zr Tl Ir
2 1 1
direct
0.0000 0.0000 0.0000
0.5000 0.3088 0.3088
0.5000 0.5837 0.5837
0.0000 0.7619 0.7619
```

Values from the calculation:
The value obtained for the relative energy among the computed polymorphs is 0.261 eV/f.u. The space group is No. 38. The density of states at the Fermi level comes out at 1.715 states/eV/cell. As for the energy of formation: -562 meV per atom. As for the total energy: -207.103 eV/cell. Its total moment is 0.0 μB per formula unit.



5.
A PBEsol-optimized structure of Zr2TlIr, computed with meta-GGA SCAN.

The structure in POSCAR format:
```
Zr2TlIr
1.0
3.0650 0.0000 0.0000
0.0000 3.0650 0.0000
0.0000 0.0000 8.2901
Zr Tl Ir
2 1 1
direct
0.0000 0.0000 0.2170
0.0000 0.0000 0.7830
0.5000 0.5000 0.5000
0.5000 0.5000 0.0000
```

Values from the calculation:
The value obtained for the relative energy among the computed polymorphs is 0.000 eV/f.u. The space group is No. 123. The density of states at the Fermi level comes out at 3.969 states/eV/cell. As for the energy of formation: -627 meV per atom. As for the total energy: -207.364 eV/cell. Its total moment is 0.0 μB per formula unit.



6.
A PBEsol-optimized structure of UIr3, computed with meta-GGA SCAN.

The structure in POSCAR format:
```
UIr3
1.0
4.0001 0.0000 0.0000
0.0000 4.0001 0.0000
0.0000 0.0000 4.0001
U Ir
1 3
direct
0.0000 0.0000 0.0000
0.0000 0.5000 0.5000
0.5000 0.0000 0.5000
0.5000 0.5000 0.0000
```

Values from the calculation:
The space group is No. 221. The density of states at the Fermi level comes out at 2.768 states/eV/cell. As for the energy of formation: -666 meV per atom. As for the total energy: -319.489 eV/cell. Its total moment is 0.0 μB per formula unit.



7.
A PBEsol-optimized structure of V3Ir, computed with meta-GGA SCAN.

The structure in POSCAR format:
```
V3Ir
1.0
4.7281 0.0000 0.0000
0.0000 4.7281 0.0000
0.0000 0.0000 4.7281
V Ir
6 2
direct
0.0000 0.2500 0.5000
0.0000 0.7500 0.5000
0.2500 0.5000 0.0000
0.5000 0.0000 0.2500
0.5000 0.0000 0.7500
0.7500 0.5000 0.0000
0.0000 0.0000 0.0000
0.5000 0.5000 0.5000
```

Values from the calculation:
The space group is No. 223. The density of states at the Fermi level comes out at 3.441 states/eV/cell. As for the energy of formation: -685 meV per atom. As for the total energy: -252.611 eV/cell. Its total moment is 0.0 μB per formula unit.



8.
A PBEsol-optimized structure of IrW2, computed with meta-GGA SCAN.

The structure in POSCAR format:
```
IrW2
1.0
-1.3644 1.3644 6.1006
1.3644 -1.3644 6.1006
1.3644 1.3644 -6.1006
Ir W
1 2
direct
0.0000 0.0000 0.0000
0.3402 0.3402 0.0000
0.6598 0.6598 0.0000
```

Values from the calculation:
The space group is No. 139. The density of states at the Fermi level comes out at 1.515 states/eV/cell. As for the energy of formation: -144 meV per atom. As for the total energy: -210.906 eV/cell. Its total moment is 0.0 μB per formula unit.



9.
A PBEsol-optimized structure of Ir5W, computed with meta-GGA SCAN.

The structure in POSCAR format:
```
Ir5W
1.0
4.9960 -1.3711 0.0000
4.9960 1.3711 0.0000
-1.5774 0.0000 6.2606
Ir W
5 1
direct
0.0000 0.0000 0.0000
0.0544 0.0544 0.6028
0.3363 0.3363 0.6658
0.6692 0.6692 0.3313
0.7261 0.7261 0.9475
0.3901 0.3901 0.2777
```

Values from the calculation:
The value obtained for the relative energy among the computed polymorphs is 0.168 eV/f.u. The space group is No. 8. The density of states at the Fermi level comes out at 4.805 states/eV/cell. As for the energy of formation: -145 meV per atom. As for the total energy: -426.056 eV/cell. Its total moment is 0.0 μB per formula unit.



10.
A PBEsol-optimized structure of Ir5W, computed with meta-GGA SCAN.

The structure in POSCAR format:
```
Ir5W
1.0
4.3795 0.0000 0.0000
0.0000 1.3727 7.1284
0.0000 -1.3727 7.1284
Ir W
5 1
direct
0.0000 0.0000 0.0000
0.0000 0.3307 0.3307
0.5000 0.1103 0.1103
0.5000 0.4438 0.4438
0.5000 0.7780 0.7780
0.0000 0.6676 0.6676
```

Values from the calculation:
The value obtained for the relative energy among the computed polymorphs is 0.000 eV/f.u. The space group is No. 38. The density of states at the Fermi level comes out at 4.189 states/eV/cell. As for the energy of formation: -173 meV per atom. As for the total energy: -426.224 eV/cell. Its total moment is 0.0 μB per formula unit.



11.
A PBEsol-optimized structure of IrW3, computed with meta-GGA SCAN.

The structure in POSCAR format:
```
IrW3
1.0
2.7110 0.0000 0.0000
0.0000 3.9903 0.0000
0.0000 0.0000 5.6812
Ir W
1 3
direct
0.0000 0.0000 0.0000
0.0000 0.0000 0.5000
0.5000 0.5000 0.2428
0.5000 0.5000 0.7572
```

Values from the calculation:
The space group is No. 47. The density of states at the Fermi level comes out at 2.531 states/eV/cell. As for the energy of formation: 94 meV per atom. As for the total energy: -279.785 eV/cell. Its total moment is 0.0 μB per formula unit.



12.
A PBEsol-optimized structure of Ir3W, computed with meta-GGA SCAN.

The structure in POSCAR format:
```
Ir3W
1.0
5.4677 0.0000 0.0000
-2.7339 4.7352 0.0000
0.0000 0.0000 8.8543
Ir W
12 4
direct
0.0000 0.5000 0.0000
0.0000 0.5000 0.5000
0.1690 0.3379 0.2500
0.1690 0.8310 0.2500
0.3379 0.1690 0.7500
0.5000 0.0000 0.0000
0.5000 0.0000 0.5000
0.5000 0.5000 0.0000
0.5000 0.5000 0.5000
0.6621 0.8310 0.2500
0.8310 0.1690 0.7500
0.8310 0.6621 0.7500
0.0000 0.0000 0.0000
0.0000 0.0000 0.5000
0.3333 0.6667 0.7500
0.6667 0.3333 0.2500
```

Values from the calculation:
The space group is No. 194. The density of states at the Fermi level comes out at 8.052 states/eV/cell. As for the energy of formation: -359 meV per atom. As for the total energy: -1137.691 eV/cell. Its total moment is 0.0 μB per formula unit.